Compound: SmScNi10
Source: the Alexandria database
Functional: GGA-PBE
Structure: relaxed

a b c (Å): 3.9682 4.8322 8.3830
angles (deg): 90.00 90.00 90.00
Element x y z (fractional)
Sm (0.0000, 0.0000, 0.0000)
Sc (0.0000, 0.5000, 0.5000)
Ni (0.0000, 0.0000, 0.3415)
Ni (0.0000, 0.0000, 0.6585)
Ni (0.0000, 0.5000, 0.1780)
Ni (0.0000, 0.5000, 0.8220)
Ni (0.5000, 0.0000, 0.5000)
Ni (0.5000, 0.2522, 0.2556)
Ni (0.5000, 0.2522, 0.7444)
Ni (0.5000, 0.5000, 0.0000)
Ni (0.5000, 0.7478, 0.2556)
Ni (0.5000, 0.7478, 0.7444)

## Properties
Calculated total energy, eV/cell: -72.317
D(E_F), states/eV/f.u.: 13.42
Energy of formation from the pure elements, eV per atom: -0.288
V, Å³ per cell: 160.75